Crystalline SnTe2Pb at its relaxed geometry. Source: Alexandria via LeMat-Bulk, functional GGA-PBE.

a = 12.882 Å, b = 12.882 Å, c = 12.882 Å
α = 14.84°, β = 14.84°, γ = 14.84°
Fractional coordinates of all 4 atoms:
1 Te 0.084 0.084 0.084
2 Te 0.916 0.916 0.916
3 Pb 0.500 0.500 0.500
4 Sn 0.000 0.000 0.000

Computed properties:
For the formation energy without anion corrections, the calculation gives 0.088 eV per atom. For the total magnetization, the calculation gives 0.000 μB/f.u. Its calculated total energy is -3.41 eV per atom.